GaAu7: optimized geometry, GGA-PBE.

a b c (Å): 8.317 8.317 8.317
angles (deg): 90.00 90.00 90.00
Space group Fm-3m (No. 225)
Unique sites:
Ga1 0.000 0.000 0.000 (multiplicity 4)
Au1 0.000 0.000 0.500 (multiplicity 4)
Au2 0.000 0.250 0.250 (multiplicity 24)

Properties
Its total energy is -105.34 eV per cell. The formation energy from the elements is -0.046 eV/atom. For the density of states at the Fermi level, the calculation gives 0.23 states/eV/atom.

***

TlAgBi2: optimized geometry, GGA-PBE.

a b c (Å): 3.502 3.502 9.269
angles (deg): 90.00 90.00 90.00
Space group P4/mmm (No. 123)
Unique sites:
Tl1 0.000 0.000 0.000 (multiplicity 1)
Ag1 0.000 0.000 0.500 (multiplicity 1)
Bi1 0.500 0.500 0.287 (multiplicity 2)

Properties
Its total energy is -12.82 eV per cell. The formation energy from the elements is 0.041 eV/atom. For the density of states at the Fermi level, the calculation gives 0.18 states/eV/atom.

***

Ho2Ga3CuAu4: optimized geometry, GGA-PBE.

a b c (Å): 4.192 4.192 11.251
angles (deg): 90.00 90.00 90.00
Space group P-4m2 (No. 115)
Unique sites:
Ho1 0.000 0.500 0.247 (multiplicity 2)
Ga1 0.000 0.000 0.000 (multiplicity 1)
Ga2 0.000 0.500 0.637 (multiplicity 2)
Cu1 0.500 0.500 0.000 (multiplicity 1)
Au1 0.000 0.000 0.500 (multiplicity 1)
Au2 0.000 0.500 0.858 (multiplicity 2)
Au3 0.500 0.500 0.500 (multiplicity 1)

Properties
Its total energy is -40.61 eV per cell. The formation energy from the elements is -0.517 eV/atom. For the density of states at the Fermi level, the calculation gives 0.38 states/eV/atom.

***

Pu2URh: optimized geometry, GGA-PBE.

a b c (Å): 4.772 6.905 4.794
angles (deg): 90.00 90.00 90.00
Space group Pmn2_1 (No. 31)
Unique sites:
Pu1 0.000 0.000 0.000 (multiplicity 2)
Pu2 0.000 0.499 0.999 (multiplicity 2)
U1 0.000 0.811 0.502 (multiplicity 2)
Rh1 0.000 0.267 0.499 (multiplicity 2)

Properties
Its energy above the most stable polymorph in this dataset is 0.0000 eV per atom. Its total energy is -95.78 eV per cell. The formation energy from the elements is -0.146 eV/atom. For the density of states at the Fermi level, the calculation gives 2.55 states/eV/atom.

***

Q: Which value of formation energy from the elements does entry 4 give?
A: -0.146 eV/atom

***

Q: formation energy from the elements of number 4 (Pu2URh)?
A: -0.146 eV/atom